{"formula": "K2BeS2", "functional": "PBEsol", "state": "relaxed", "lattice": [[-3.0007, 3.0007, 5.5807], [3.0007, -3.0007, 5.5807], [3.0007, 3.0007, -5.5807]], "species": ["K", "K", "Be", "S", "S"], "frac_coords": [[0.2500, 0.7500, 0.5000], [0.7500, 0.2500, 0.5000], [0.0000, 0.0000, 0.0000], [0.1678, 0.1678, 0.0000], [0.8322, 0.8322, 0.0000]], "e_form_raw_ev_per_fu": -4.9, "spacegroup": "No. 139", "total_magnetization_mub_per_cell": 0.00}

{"formula": "SrSi3Tc", "functional": "PBEsol", "state": "relaxed", "lattice": [[4.6840, 0.0000, 0.0000], [0.0000, 4.6840, 0.0000], [0.0000, 0.0000, 4.6840]], "species": ["Sr", "Si", "Si", "Si", "Tc"], "frac_coords": [[0.0000, 0.0000, 0.0000], [0.0000, 0.5000, 0.5000], [0.5000, 0.0000, 0.5000], [0.5000, 0.5000, 0.0000], [0.5000, 0.5000, 0.5000]], "e_form_raw_ev_per_fu": -0.1, "spacegroup": "No. 221", "total_magnetization_mub_per_cell": 0.00}

{"formula": "MnAl2Ag", "functional": "PBEsol", "state": "relaxed", "lattice": [[2.8102, 0.0000, 0.0000], [0.0000, 2.8102, 0.0000], [0.0000, 0.0000, 7.5937]], "species": ["Mn", "Al", "Al", "Ag"], "frac_coords": [[0.0000, 0.0000, 0.0000], [0.0000, 0.0000, 0.5164], [0.5000, 0.5000, 0.7873], [0.5000, 0.5000, 0.2590]], "e_above_lowest_polymorph_ev_per_atom": 0.212, "spacegroup": "No. 99", "delta_e_f_ev_per_atom": 0.056, "total_magnetization_mub_per_cell": 2.92}

{"formula": "AlTe2Rh", "functional": "PBEsol", "state": "relaxed", "lattice": [[1.9934, 1.1509, 6.4481], [-1.9934, 1.1509, 6.4481], [0.0000, -2.3017, 6.4481]], "species": ["Al", "Te", "Te", "Rh"], "frac_coords": [[0.0000, 0.0000, 0.0000], [0.5436, 0.5436, 0.5436], [0.7459, 0.7459, 0.7459], [0.2742, 0.2742, 0.2742]], "e_form_raw_ev_per_fu": -0.9, "spacegroup": "No. 160", "total_magnetization_mub_per_cell": 0.00}

{"formula": "Sc2CSe", "functional": "PBEsol", "state": "relaxed", "lattice": [[1.7184, 0.9921, 7.4032], [-1.7184, 0.9921, 7.4032], [0.0000, -1.9843, 7.4032]], "species": ["Sc", "Sc", "C", "Se"], "frac_coords": [[0.1145, 0.1145, 0.1145], [0.8855, 0.8855, 0.8855], [0.5000, 0.5000, 0.5000], [0.0000, 0.0000, 0.0000]], "e_form_raw_ev_per_fu": -2.6, "spacegroup": "No. 166", "total_magnetization_mub_per_cell": 0.00}

{"formula": "TaIrPt2", "functional": "PBEsol", "state": "relaxed", "lattice": [[3.8905, 0.0000, 0.0000], [0.0000, 3.8905, 0.0000], [0.0000, 0.0000, 3.9966]], "species": ["Ta", "Ir", "Pt", "Pt"], "frac_coords": [[0.0000, 0.0000, 0.0000], [0.5000, 0.5000, 0.0000], [0.0000, 0.5000, 0.5000], [0.5000, 0.0000, 0.5000]], "e_above_lowest_polymorph_ev_per_atom": 0.000, "spacegroup": "No. 123", "delta_e_f_ev_per_atom": -0.637, "total_magnetization_mub_per_cell": 0.00}

{"formula": "MnZn2Au", "functional": "PBEsol", "state": "relaxed", "lattice": [[0.0000, 3.0653, 3.0653], [3.0653, 0.0000, 3.0653], [3.0653, 3.0653, 0.0000]], "species": ["Mn", "Zn", "Zn", "Au"], "frac_coords": [[0.0000, 0.0000, 0.0000], [0.2500, 0.2500, 0.2500], [0.5000, 0.5000, 0.5000], [0.7500, 0.7500, 0.7500]], "spacegroup": "No. 216", "delta_e_f_ev_per_atom": -0.033, "total_magnetization_mub_per_cell": 3.58}

{"formula": "LaCoP2", "functional": "PBEsol", "state": "relaxed", "lattice": [[-1.8719, 2.8906, 3.3567], [1.8719, -2.8906, 3.3567], [1.8719, 2.8906, -3.3567]], "species": ["La", "Co", "P", "P"], "frac_coords": [[0.0000, 0.0000, 0.0000], [0.5000, 0.5000, 0.0000], [0.3284, 0.8284, 0.5000], [0.6716, 0.1716, 0.5000]], "e_above_lowest_polymorph_ev_per_atom": 0.000, "spacegroup": "No. 71", "delta_e_f_ev_per_atom": -0.851, "total_magnetization_mub_per_cell": 0.00}

{"formula": "Al2CuNi3", "functional": "PBEsol", "state": "relaxed", "lattice": [[1.7255, -5.6244, 0.0000], [1.7255, 5.6244, 0.0000], [0.0000, 0.0000, 3.5186]], "species": ["Al", "Al", "Cu", "Ni", "Ni", "Ni"], "frac_coords": [[0.1593, 0.8407, 0.0000], [0.8407, 0.1593, 0.0000], [0.0000, 0.0000, 0.5000], [0.3338, 0.6662, 0.5000], [0.5000, 0.5000, 0.0000], [0.6662, 0.3338, 0.5000]], "e_above_lowest_polymorph_ev_per_atom": 0.000, "spacegroup": "No. 65", "delta_e_f_ev_per_atom": -0.445, "total_magnetization_mub_per_cell": 0.00}

{"formula": "Zn2SiMo", "functional": "PBEsol", "state": "relaxed", "lattice": [[1.8297, -1.9133, 0.0000], [1.8297, 1.9133, 0.0000], [0.0000, 0.0000, 8.3026]], "species": ["Zn", "Zn", "Si", "Mo"], "frac_coords": [[0.0000, 0.0000, 0.2461], [0.0000, 0.0000, 0.7539], [0.5000, 0.5000, 0.5000], [0.5000, 0.5000, 0.0000]], "e_form_raw_ev_per_fu": 0.9, "spacegroup": "No. 65", "total_magnetization_mub_per_cell": 0.00}

{"formula": "CaTlIr2", "functional": "PBEsol", "state": "relaxed", "lattice": [[1.5145, 0.8744, 9.1456], [-1.5145, 0.8744, 9.1456], [0.0000, -1.7488, 9.1456]], "species": ["Ca", "Tl", "Ir", "Ir"], "frac_coords": [[0.0000, 0.0000, 0.0000], [0.5000, 0.5000, 0.5000], [0.2491, 0.2491, 0.2491], [0.7509, 0.7509, 0.7509]], "spacegroup": "No. 166", "delta_e_f_ev_per_atom": 0.426, "total_magnetization_mub_per_cell": 0.00}

{"formula": "Mo2PtCl", "functional": "PBEsol", "state": "relaxed", "lattice": [[0.0000, 3.1373, 3.1373], [3.1373, 0.0000, 3.1373], [3.1373, 3.1373, 0.0000]], "species": ["Mo", "Mo", "Pt", "Cl"], "frac_coords": [[0.0000, 0.0000, 0.0000], [0.2500, 0.2500, 0.2500], [0.5000, 0.5000, 0.5000], [0.7500, 0.7500, 0.7500]], "e_form_raw_ev_per_fu": 3.2, "e_above_lowest_polymorph_ev_per_atom": 0.548, "spacegroup": "No. 216", "total_magnetization_mub_per_cell": 0.01}

{"formula": "Re2RuRh", "functional": "PBEsol", "state": "relaxed", "lattice": [[2.7114, 0.0000, 0.0000], [0.0000, 4.3267, 0.0000], [0.0000, 0.0000, 4.7339]], "species": ["Re", "Re", "Ru", "Rh"], "frac_coords": [[0.0000, 0.0000, 0.0000], [0.0000, 0.5000, 0.3319], [0.5000, 0.0000, 0.4981], [0.5000, 0.5000, 0.8361]], "e_above_lowest_polymorph_ev_per_atom": 0.000, "spacegroup": "No. 25", "delta_e_f_ev_per_atom": -0.159, "total_magnetization_mub_per_cell": 0.00}

{"formula": "NaCdBi", "functional": "PBEsol", "state": "relaxed", "lattice": [[8.0342, 0.0000, 0.0000], [0.0000, 4.7886, 0.0000], [0.0000, 0.0000, 8.7434]], "species": ["Na", "Na", "Na", "Na", "Cd", "Cd", "Cd", "Cd", "Bi", "Bi", "Bi", "Bi"], "frac_coords": [[0.0205, 0.2500, 0.1833], [0.4795, 0.7500, 0.6833], [0.5205, 0.2500, 0.3167], [0.9795, 0.7500, 0.8167], [0.1419, 0.2500, 0.5696], [0.3581, 0.7500, 0.0696], [0.6419, 0.2500, 0.9304], [0.8581, 0.7500, 0.4304], [0.2333, 0.7500, 0.3889], [0.2667, 0.2500, 0.8889], [0.7333, 0.7500, 0.1111], [0.7667, 0.2500, 0.6111]], "spacegroup": "No. 62", "delta_e_f_ev_per_atom": -0.237, "total_magnetization_mub_per_cell": 0.00}

{"formula": "LaDyMg2", "functional": "PBEsol", "state": "relaxed", "lattice": [[0.0000, 3.8211, 3.8211], [3.8211, 0.0000, 3.8211], [3.8211, 3.8211, 0.0000]], "species": ["La", "Dy", "Mg", "Mg"], "frac_coords": [[0.0000, 0.0000, 0.0000], [0.5000, 0.5000, 0.5000], [0.2500, 0.2500, 0.2500], [0.7500, 0.7500, 0.7500]], "spacegroup": "No. 225", "delta_e_f_ev_per_atom": -0.080, "total_magnetization_mub_per_cell": 0.00}

{"formula": "CrCo3", "functional": "PBEsol", "state": "relaxed", "lattice": [[2.4312, 0.0000, 0.0000], [0.0000, 3.4481, 0.0000], [0.0000, 0.0000, 4.8819]], "species": ["Cr", "Co", "Co", "Co"], "frac_coords": [[0.0000, 0.0000, 0.0000], [0.0000, 0.0000, 0.5000], [0.5000, 0.5000, 0.2523], [0.5000, 0.5000, 0.7477]], "e_above_lowest_polymorph_ev_per_atom": 0.085, "spacegroup": "No. 47", "delta_e_f_ev_per_atom": 0.047, "total_magnetization_mub_per_cell": 1.83}

{"formula": "LaSb3", "functional": "PBEsol", "state": "relaxed", "lattice": [[4.2067, 0.0000, 0.0000], [0.0000, 4.2067, 0.0000], [0.0000, 0.0000, 6.2890]], "species": ["La", "Sb", "Sb", "Sb"], "frac_coords": [[0.0000, 0.0000, 0.0000], [0.0000, 0.0000, 0.5000], [0.5000, 0.5000, 0.2565], [0.5000, 0.5000, 0.7435]], "e_form_raw_ev_per_fu": -2.2, "spacegroup": "No. 123", "total_magnetization_mub_per_cell": 0.00}

{"formula": "Mn2ZnSi", "functional": "PBEsol", "state": "relaxed", "lattice": [[1.2904, 0.7450, 8.1059], [-1.2904, 0.7450, 8.1059], [0.0000, -1.4901, 8.1059]], "species": ["Mn", "Mn", "Zn", "Si"], "frac_coords": [[0.0000, 0.0000, 0.0000], [0.2595, 0.2595, 0.2595], [0.5054, 0.5054, 0.5054], [0.7452, 0.7452, 0.7452]], "e_form_raw_ev_per_fu": 0.2, "spacegroup": "No. 160", "total_magnetization_mub_per_cell": 0.00}

{"formula": "BaMoCl2", "functional": "PBEsol", "state": "relaxed", "lattice": [[3.4887, 0.0000, 0.0000], [0.0000, 4.0850, 0.0000], [0.0000, 0.0000, 6.1601]], "species": ["Ba", "Mo", "Cl", "Cl"], "frac_coords": [[0.0000, 0.0000, 0.0000], [0.5000, 0.0000, 0.5000], [0.5000, 0.5000, 0.2711], [0.5000, 0.5000, 0.7289]], "e_form_raw_ev_per_fu": -2.0, "e_above_lowest_polymorph_ev_per_atom": 0.000, "spacegroup": "No. 47", "total_magnetization_mub_per_cell": 0.87}

{"formula": "LiUAsO6", "functional": "PBEsol", "state": "relaxed", "lattice": [[5.0654, 0.0000, 0.0000], [1.3462, 5.2433, 0.0000], [1.2472, -0.0906, 9.8933]], "species": ["Li", "Li", "U", "U", "As", "As", "O", "O", "O", "O", "O", "O", "O", "O", "O", "O", "O", "O"], "frac_coords": [[0.0482, 0.0659, 0.2264], [0.9518, 0.9341, 0.7736], [0.0000, 0.5000, 0.0000], [0.5000, 0.0000, 0.5000], [0.4088, 0.4908, 0.2593], [0.5912, 0.5092, 0.7407], [0.1801, 0.6759, 0.1616], [0.1804, 0.9993, 0.6072], [0.2262, 0.1940, 0.0353], [0.2792, 0.6296, 0.8346], [0.2816, 0.2496, 0.3335], [0.4527, 0.6837, 0.3816], [0.5473, 0.3163, 0.6184], [0.7184, 0.7504, 0.6665], [0.7208, 0.3704, 0.1654], [0.7738, 0.8060, 0.9647], [0.8196, 0.0007, 0.3928], [0.8199, 0.3241, 0.8384]], "e_form_raw_ev_per_fu": -19.9, "spacegroup": "No. 2", "total_magnetization_mub_per_cell": 0.00}